# 1
Au3SI: relaxed, PBE.

Unit cell a=9.397 b=10.159 c=9.867 alpha=90.00 beta=90.00 gamma=90.00
Space group Cmcm (No. 63)
One atom of each set of equivalent atoms:
Au1 0.000 0.243 0.099 x8
Au2 0.165 0.000 0.000 x8
Au3 0.247 0.150 0.250 x8
S1 0.250 0.250 0.000 x8
I1 0.000 0.090 0.750 x4
I2 0.000 0.495 0.750 x4

Calculated values
For the uncorrected energy, the calculation gives -113.4 eV for the cell shown. The calculation puts the volume at 942.0 Å³/cell.

---

# 2
Sb10Au7I: relaxed, PBE.

Unit cell a=6.8572 b=6.8572 c=12.5356 alpha=90.00 beta=90.00 gamma=120.00
Space group P-62m (No. 189)
One atom of each set of equivalent atoms:
Sb1 0.0000 0.3185 0.1485 x6
Sb2 0.3333 0.6667 0.2905 x4
Au1 0.0000 0.0000 0.2836 x2
Au2 0.0000 0.6404 0.0000 x3
Au3 0.3333 0.6667 0.5000 x2
I1 0.0000 0.0000 0.5000 x1

Calculated values
For the uncorrected energy, the calculation gives -63.7 eV for the cell shown. The calculation puts the volume at 510.5 Å³/cell.

---

Q: Look up the uncorrected energy of the first one.
A: -113.4 eV for the cell shown

---

Q: Which value of volume does entry 1 give?
A: 942.0 Å³/cell